The following is a DFT calculation (PBE) of crystalline PmFe2Si2 at its relaxed geometry.

Results
Calculated total energy in eV per atom: -7.1452
Calculated density in Mg/m³: 6.69
Total magnetic moment in Bohr magnetons per cell: 0.0
Formation energy (no corrections) in kJ/mol of atoms: -61.8
Symmetry: I4/mmm

Cell lengths 4.0037, 4.0037, 5.6098 Å; angles 110.91, 110.91, 90.00 degrees
With the nearest neighbours (Å) after each atom.
Atoms (fractional coordinates):
Pm 0.0000 0.0000 0.0000  10 Si 3.13-3.51, 8 Fe 3.14
Fe 0.7500 0.2500 0.5000  4 Si 2.28
Fe 0.2500 0.7500 0.5000  4 Si 2.28
Si 0.6380 0.6380 0.2760  4 Fe 2.28
Si 0.3620 0.3620 0.7240  4 Fe 2.28